The following is a PBE calculation of a relaxed LaPb2W crystal, from the Alexandria database.

Properties
The calculation puts the theoretical density at 10.94 g cm⁻³. The formation energy comes out at 212 kJ/mol of formula units. The crystal system is tetragonal. Its space group is P4mm, No. 99. Its magnetization is 0.00 μB/cell.

a = 3.107 Å, b = 3.107 Å, c = 11.585 Å
α = 90.00°, β = 90.00°, γ = 90.00°
Element x y z (fractional)
La  0.500  0.500  0.716
Pb  0.000  0.000  0.975
Pb  0.500  0.500  0.305
W  0.000  0.000  0.504